No. 1
An optimized crystal structure of Cs2KInH. Source: the Alexandria database, functional GGA-PBE.

Output
N(E_F): 2.5 states/eV/cell
ΔE to the lowest computed polymorph: 8.7 kJ per mole of atoms

abc: 6.245 6.245 5.746
angles: 90.00 90.00 90.00
Fractional coordinates of all 5 atoms:
Cs 0.000 0.500 0.000
Cs 0.500 0.000 0.000
K 0.000 0.000 0.500
In 0.500 0.500 0.500
H 0.500 0.500 0.000

=====

No. 2
An optimized crystal structure of CeB2C2. Source: the Alexandria database, functional GGA-PBE.

Output
Electronic total energy: -7.862 eV per atom
N(E_F): 8.5 states/eV/cell

abc: 3.817 3.817 7.512
angles: 90.00 90.00 90.00
Fractional coordinates of all 10 atoms:
Ce 0.000 0.000 0.250
Ce 0.000 0.000 0.750
B 0.218 0.500 0.000
B 0.500 0.218 0.500
B 0.500 0.782 0.500
B 0.782 0.500 0.000
C 0.186 0.500 0.500
C 0.500 0.186 0.000
C 0.500 0.814 0.000
C 0.814 0.500 0.500

=====

No. 3
An optimized crystal structure of LaTmTh2. Source: the Alexandria database, functional GGA-PBE.

Output
N(E_F): 13.0 states/eV/cell
ΔE to the lowest computed polymorph: 1.4 kJ per mole of atoms

abc: 3.585 3.585 20.468
angles: 90.00 90.01 90.00
Fractional coordinates of all 8 atoms:
La 0.249 0.250 0.074
La 0.751 0.750 0.926
Tm 0.249 0.250 0.316
Tm 0.751 0.750 0.684
Th 0.250 0.250 0.560
Th 0.251 0.250 0.803
Th 0.749 0.750 0.197
Th 0.750 0.750 0.440

=====

> Which of these has the lowest N(E_F)?

Cs2KInH

=====

> Which of these has the highest N(E_F)?

LaTmTh2

=====

> N(E_F) of number 1 (Cs2KInH)?

2.5 states/eV/cell

=====

> Which value of N(E_F) does entry 1 give?

2.5 states/eV/cell